Density functional theory data (PBE) for Sm3AlSi2Rh9 after structural relaxation.

Summary:
**V**: 18.26 Å³ per atom
**E_form (uncorrected)**: -0.587 eV per atom

Unit cell a=6.3585 b=6.3585 c=7.8217 alpha=90.00 beta=90.00 gamma=120.00
Space group P-3m1 (No. 164)
Inequivalent atoms, fractional coordinates:
Sm1 0.0000 0.0000 0.0000
Sm2 0.3333 0.6667 0.6621
Al1 0.0000 0.0000 0.5000
Si1 0.3333 0.6667 0.1644
Rh1 0.0000 0.5000 0.0000
Rh2 0.1689 0.3378 0.3288

Density functional theory data (PBE) for MgGe2SbS after structural relaxation.

Summary:
**V**: 24.75 Å³ per atom
**E_form (uncorrected)**: 0.522 eV per atom

Unit cell a=5.210 b=5.210 c=4.558 alpha=90.00 beta=90.00 gamma=90.00
Space group P4/mmm (No. 123)
Inequivalent atoms, fractional coordinates:
Mg1 0.000 0.000 0.000
Ge1 0.000 0.500 0.000
Sb1 0.500 0.500 0.500
S1 0.000 0.000 0.500

Density functional theory data (PBE) for UCdGa2O8 after structural relaxation.

Summary:
**V**: 13.53 Å³ per atom
**E_form (uncorrected)**: -1.670 eV per atom

Unit cell a=6.903 b=6.903 c=6.814 alpha=90.00 beta=90.00 gamma=90.00
Space group I-4m2 (No. 119)
Inequivalent atoms, fractional coordinates:
U1 0.000 0.000 0.000
Cd1 0.000 0.500 0.250
Ga1 0.000 0.000 0.500
Ga2 0.000 0.500 0.750
O1 0.000 0.181 0.299
O2 0.000 0.294 0.925

Density functional theory data (PBE) for Te2IrPt after structural relaxation.

Summary:
**V**: 21.23 Å³ per atom
**Offset from the most stable computed form**: 4.12 kcal/mol of atoms
**E_form (uncorrected)**: 0.046 eV per atom

Unit cell a=6.774 b=3.892 c=6.819 alpha=90.00 beta=109.18 gamma=90.00
Space group C2/m (No. 12)
Inequivalent atoms, fractional coordinates:
Te1 0.246 0.000 0.238
Ir1 0.000 0.500 0.000
Pt1 0.000 0.000 0.500

Density functional theory data (PBE) for SmThAg3 after structural relaxation.

Summary:
**V**: 24.38 Å³ per atom
**E_form**: -0.18 eV/atom

Unit cell a=3.459 b=28.993 c=4.861 alpha=90.00 beta=90.00 gamma=90.00
Space group Cmcm (No. 63)
Inequivalent atoms, fractional coordinates:
Sm1 0.000 0.210 0.250
Th1 0.000 0.073 0.750
Ag1 0.000 0.326 0.250
Ag2 0.000 0.380 0.750
Ag3 0.000 0.476 0.750

Density functional theory data (PBE) for Cd6Rh after structural relaxation.

Summary:
**V**: 21.17 Å³ per atom
**E_form**: -0.10 eV/atom
**Offset from the most stable computed form**: 0.00 kcal/mol of atoms

Unit cell a=8.347 b=7.406 c=9.590 alpha=90.00 beta=90.00 gamma=90.00
Space group Cmcm (No. 63)
Inequivalent atoms, fractional coordinates:
Cd1 0.000 0.153 0.088
Cd2 0.179 0.500 0.000
Cd3 0.188 0.221 0.750
Rh1 0.000 0.461 0.250

- The lowest V belongs to which entry?
  UCdGa2O8